[1]
Density functional theory data (GGA-PBEsol) for NaReNi2Rh after structural relaxation.

a b c (Å): 4.6197 4.6197 4.5955
angles (deg): 90.00 90.00 90.00
Closest atoms and distances in Å follow each position.
Space group P4/mmm (No. 123)
Asymmetric unit:
1 Na 0.0000 0.0000 0.0000 [1 per cell]  8 Ni 3.26, 4 Re 3.27
2 Re 0.5000 0.5000 0.0000 [1 per cell]  2 Rh 2.30
3 Ni 0.0000 0.5000 0.5000 [2 per cell]  2 Rh 2.31
4 Rh 0.5000 0.5000 0.5000 [1 per cell]  2 Re 2.30, 4 Ni 2.31

## Properties
Magnetization (μB/cell): 3.99
E_tot (eV/atom): -5.547
Mass density (g/cm³): 7.272
V (Å³ per cell): 98.1
Crystal system: tetragonal


[2]
Density functional theory data (GGA-PBEsol) for NaTiReNi2 after structural relaxation.

a b c (Å): 4.0522 4.0522 4.6205
angles (deg): 90.00 90.00 90.00
Closest atoms and distances in Å follow each position.
Space group P4/mmm (No. 123)
Asymmetric unit:
1 Na 0.0000 0.0000 0.0000 [1 per cell]  4 Ni 2.03
2 Ti 0.5000 0.5000 0.5000 [1 per cell]  4 Re 2.87, 8 Ni 3.07
3 Re 0.0000 0.0000 0.5000 [1 per cell]  2 Na 2.31
4 Ni 0.0000 0.5000 0.0000 [2 per cell]  2 Na 2.03

## Properties
Magnetization (μB/cell): 0.00
E_tot (eV/atom): -5.222
Mass density (g/cm³): 8.196
V (Å³ per cell): 75.9
Crystal system: tetragonal


[3]
Density functional theory data (GGA-PBEsol) for Na3NiRu after structural relaxation.

a b c (Å): 5.0132 5.0132 5.0132
angles (deg): 90.00 90.00 90.00
Closest atoms and distances in Å follow each position.
Space group Pm-3m (No. 221)
Asymmetric unit:
1 Na 0.0000 0.0000 0.5000 [3 per cell]  2 Ni 2.51
2 Ni 0.0000 0.0000 0.0000 [1 per cell]  6 Na 2.51
3 Ru 0.5000 0.5000 0.5000 [1 per cell]  12 Na 3.54

## Properties
Magnetization (μB/cell): 2.96
E_tot (eV/atom): -2.554
Mass density (g/cm³): 3.015
V (Å³ per cell): 126.0
Crystal system: cubic


[4]
Density functional theory data (GGA-PBEsol) for NaNiRu2W after structural relaxation.

a b c (Å): 4.4985 4.4985 4.3756
angles (deg): 90.00 90.00 90.00
Closest atoms and distances in Å follow each position.
Space group P4/mmm (No. 123)
Asymmetric unit:
1 Na 0.0000 0.0000 0.0000 [1 per cell]  8 Ru 3.14, 4 W 3.18
2 Ni 0.5000 0.5000 0.5000 [1 per cell]  2 W 2.19, 4 Ru 2.25
3 Ru 0.0000 0.5000 0.5000 [2 per cell]  2 Ni 2.25
4 W 0.5000 0.5000 0.0000 [1 per cell]  2 Ni 2.19

## Properties
Magnetization (μB/cell): 0.86
E_tot (eV/atom): -6.650
Mass density (g/cm³): 8.770
V (Å³ per cell): 88.5
Crystal system: tetragonal


[5]
Density functional theory data (GGA-PBEsol) for NaNiS3 after structural relaxation.

a b c (Å): 4.7122 4.7122 4.7122
angles (deg): 90.00 90.00 90.00
Closest atoms and distances in Å follow each position.
Space group Pm-3m (No. 221)
Asymmetric unit:
1 Na 0.0000 0.0000 0.0000 [1 per cell]  6 S 2.36
2 Ni 0.5000 0.5000 0.5000 [1 per cell]  12 S 3.33
3 S 0.0000 0.0000 0.5000 [3 per cell]  2 Na 2.36

## Properties
Magnetization (μB/cell): 0.60
Raw formation energy (meV/atom): 1379.5
E_tot (eV/atom): -2.762
Mass density (g/cm³): 2.823
V (Å³ per cell): 104.6
Crystal system: cubic


[6]
Density functional theory data (GGA-PBEsol) for Na2NiSb2 after structural relaxation.

a b c (Å): 6.6520 6.6520 5.1760
angles (deg): 90.00 90.00 90.00
Closest atoms and distances in Å follow each position.
Space group P4/mbm (No. 127)
Asymmetric unit:
1 Na 0.1687 0.3313 0.0000 [4 per cell]  6 Sb 3.08-3.36, 1 Na 3.17
2 Ni 0.0000 0.0000 0.5000 [2 per cell]  4 Sb 2.52
3 Sb 0.1542 0.6542 0.5000 [4 per cell]  2 Ni 2.52

## Properties
Magnetization (μB/cell): 0.00
Raw formation energy (meV/atom): -256.8
E_tot (eV/atom): -3.871
Mass density (g/cm³): 5.049
V (Å³ per cell): 229.0
Crystal system: tetragonal


[7]
Density functional theory data (GGA-PBEsol) for NaTcNiSb2 after structural relaxation.

a b c (Å): 4.8173 4.8173 4.5746
angles (deg): 90.00 90.00 90.00
Closest atoms and distances in Å follow each position.
Space group P4/mmm (No. 123)
Asymmetric unit:
1 Na 0.0000 0.0000 0.0000 [1 per cell]  2 Ni 2.29
2 Tc 0.5000 0.5000 0.0000 [1 per cell]  8 Sb 3.32, 4 Na 3.41
3 Ni 0.0000 0.0000 0.5000 [1 per cell]  2 Na 2.29, 4 Sb 2.41
4 Sb 0.0000 0.5000 0.5000 [2 per cell]  2 Ni 2.41

## Properties
Magnetization (μB/cell): 2.89
Raw formation energy (meV/atom): 845.2
E_tot (eV/atom): -4.742
Mass density (g/cm³): 6.620
V (Å³ per cell): 106.2
Crystal system: tetragonal


[8]
Density functional theory data (GGA-PBEsol) for NaNiSb2Te after structural relaxation.

a b c (Å): 5.1986 5.1986 5.2547
angles (deg): 90.00 90.00 90.00
Closest atoms and distances in Å follow each position.
Space group P4/mmm (No. 123)
Asymmetric unit:
1 Na 0.0000 0.0000 0.0000 [1 per cell]  4 Sb 2.60, 2 Te 2.63
2 Ni 0.5000 0.5000 0.5000 [1 per cell]  4 Te 3.68, 8 Sb 3.70
3 Sb 0.0000 0.5000 0.0000 [2 per cell]  2 Na 2.60
4 Te 0.0000 0.0000 0.5000 [1 per cell]  2 Na 2.63

## Properties
Magnetization (μB/cell): 0.66
Raw formation energy (meV/atom): 1274.1
E_tot (eV/atom): -2.765
Mass density (g/cm³): 5.295
V (Å³ per cell): 142.0
Crystal system: tetragonal


[9]
Density functional theory data (GGA-PBEsol) for NaNiSb2W after structural relaxation.

a b c (Å): 5.1650 5.1650 4.7312
angles (deg): 90.00 90.00 90.00
Closest atoms and distances in Å follow each position.
Space group P4/mmm (No. 123)
Asymmetric unit:
1 Na 0.0000 0.0000 0.0000 [1 per cell]  8 Sb 3.50, 4 Ni 3.65
2 Ni 0.5000 0.5000 0.0000 [1 per cell]  2 W 2.37
3 Sb 0.0000 0.5000 0.5000 [2 per cell]  2 W 2.58
4 W 0.5000 0.5000 0.5000 [1 per cell]  2 Ni 2.37, 4 Sb 2.58

## Properties
Magnetization (μB/cell): 0.01
Raw formation energy (meV/atom): 628.8
E_tot (eV/atom): -5.467
Mass density (g/cm³): 6.697
V (Å³ per cell): 126.2
Crystal system: tetragonal


[10]
Density functional theory data (GGA-PBEsol) for NaNi2Se2 after structural relaxation.

a b c (Å): 3.7957 3.7957 12.0972
angles (deg): 90.00 90.00 90.00
Closest atoms and distances in Å follow each position.
Space group I4/mmm (No. 139)
Asymmetric unit:
1 Na 0.0000 0.0000 0.0000 [2 per cell]  8 Se 3.15
2 Ni 0.0000 0.5000 0.2500 [4 per cell]  4 Se 2.34
3 Se 0.0000 0.0000 0.3635 [4 per cell]  4 Ni 2.34

## Properties
Magnetization (μB/cell): 0.00
Raw formation energy (meV/atom): -462.8
E_tot (eV/atom): -4.746
Mass density (g/cm³): 5.684
V (Å³ per cell): 174.3
Crystal system: tetragonal


[11]
Density functional theory data (GGA-PBEsol) for NaSr3Ni after structural relaxation.

a b c (Å): 15.2976 4.1197 12.3452
angles (deg): 90.00 95.48 90.00
Closest atoms and distances in Å follow each position.
Space group C2/m (No. 12)
Asymmetric unit:
1 Na 0.0521 0.0000 0.3855 [4 per cell]  1 Na 3.38
2 Sr 0.1004 0.0000 0.8852 [4 per cell]  3 Ni 2.95-3.06
3 Sr 0.1506 0.5000 0.1575 [4 per cell]  3 Ni 2.98-3.04
4 Sr 0.1820 0.5000 0.6201 [4 per cell]  5 Na 3.94-4.13, 8 Sr 4.12-4.31, 1 Ni 4.15
5 Ni 0.2429 0.5000 0.9552 [4 per cell]  2 Ni 2.34

## Properties
Magnetization (μB/cell): 0.00
E_tot (eV/atom): -2.616
Mass density (g/cm³): 2.955
V (Å³ per cell): 774.4
Crystal system: monoclinic
ΔE to the lowest computed polymorph (meV/atom): 0


[12]
Density functional theory data (GGA-PBEsol) for NaSr3Ni after structural relaxation.

a b c (Å): 5.8107 5.8107 5.8107
angles (deg): 90.00 90.00 90.00
Closest atoms and distances in Å follow each position.
Space group Pm-3m (No. 221)
Asymmetric unit:
1 Na 0.0000 0.0000 0.0000 [1 per cell]  12 Sr 4.11
2 Sr 0.0000 0.5000 0.5000 [3 per cell]  2 Ni 2.91
3 Ni 0.5000 0.5000 0.5000 [1 per cell]  6 Sr 2.91

## Properties
Magnetization (μB/cell): 0.00
E_tot (eV/atom): -2.598
Mass density (g/cm³): 2.916
V (Å³ per cell): 196.2
Crystal system: cubic
ΔE to the lowest computed polymorph (meV/atom): 17


[13]
Density functional theory data (GGA-PBEsol) for NaNi2Te2 after structural relaxation.

a b c (Å): 3.8675 3.8675 14.0286
angles (deg): 90.00 90.00 90.00
Closest atoms and distances in Å follow each position.
Space group I4/mmm (No. 139)
Asymmetric unit:
1 Na 0.0000 0.0000 0.0000 [2 per cell]  8 Te 3.35
2 Ni 0.0000 0.5000 0.2500 [4 per cell]  4 Te 2.50, 4 Ni 2.73
3 Te 0.0000 0.0000 0.3626 [4 per cell]  4 Ni 2.50

## Properties
Magnetization (μB/cell): 0.01
Raw formation energy (meV/atom): -314.6
E_tot (eV/atom): -4.468
Mass density (g/cm³): 6.261
V (Å³ per cell): 209.8
Crystal system: tetragonal


[14]
Density functional theory data (GGA-PBEsol) for Na3TlNi after structural relaxation.

a b c (Å): 5.2213 5.2213 5.2213
angles (deg): 90.00 90.00 90.00
Closest atoms and distances in Å follow each position.
Space group Pm-3m (No. 221)
Asymmetric unit:
1 Na 0.0000 0.0000 0.5000 [3 per cell]  2 Ni 2.61
2 Tl 0.5000 0.5000 0.5000 [1 per cell]  12 Na 3.69
3 Ni 0.0000 0.0000 0.0000 [1 per cell]  6 Na 2.61

## Properties
Magnetization (μB/cell): 0.00
E_tot (eV/atom): -2.079
Mass density (g/cm³): 3.874
V (Å³ per cell): 142.3
Crystal system: cubic


[15]
Density functional theory data (GGA-PBEsol) for NaZrTlNi2 after structural relaxation.

a b c (Å): 4.6431 4.6431 5.6085
angles (deg): 90.00 90.00 90.00
Closest atoms and distances in Å follow each position.
Space group P4/mmm (No. 123)
Asymmetric unit:
1 Na 0.0000 0.0000 0.0000 [1 per cell]  4 Tl 3.28, 8 Ni 3.64
2 Zr 0.5000 0.5000 0.5000 [1 per cell]  4 Ni 2.32
3 Tl 0.5000 0.5000 0.0000 [1 per cell]  2 Zr 2.80
4 Ni 0.0000 0.5000 0.5000 [2 per cell]  2 Zr 2.32

## Properties
Magnetization (μB/cell): 0.00
E_tot (eV/atom): -4.269
Mass density (g/cm³): 5.988
V (Å³ per cell): 120.9
Crystal system: tetragonal


[16]
Density functional theory data (GGA-PBEsol) for Na3ZnNi after structural relaxation.

a b c (Å): 5.2157 5.2157 5.2157
angles (deg): 90.00 90.00 90.00
Closest atoms and distances in Å follow each position.
Space group Pm-3m (No. 221)
Asymmetric unit:
1 Na 0.0000 0.0000 0.5000 [3 per cell]  2 Ni 2.61
2 Zn 0.5000 0.5000 0.5000 [1 per cell]  12 Na 3.69
3 Ni 0.0000 0.0000 0.0000 [1 per cell]  6 Na 2.61

## Properties
Magnetization (μB/cell): 0.00
E_tot (eV/atom): -1.715
Mass density (g/cm³): 2.260
V (Å³ per cell): 141.9
Crystal system: cubic


[17]
Density functional theory data (GGA-PBEsol) for NaZr3Ni after structural relaxation.

a b c (Å): 4.8221 4.8221 4.8221
angles (deg): 90.00 90.00 90.00
Closest atoms and distances in Å follow each position.
Space group Pm-3m (No. 221)
Asymmetric unit:
1 Na 0.0000 0.0000 0.0000 [1 per cell]  6 Zr 2.41
2 Zr 0.0000 0.0000 0.5000 [3 per cell]  2 Na 2.41
3 Ni 0.5000 0.5000 0.5000 [1 per cell]  12 Zr 3.41

## Properties
Magnetization (μB/cell): 0.01
E_tot (eV/atom): -5.138
Mass density (g/cm³): 5.263
V (Å³ per cell): 112.1
Crystal system: cubic


[18]
Density functional theory data (GGA-PBEsol) for Na5NpO6 after structural relaxation.

a b c (Å): 5.7969 9.9573 5.7271
angles (deg): 90.00 110.40 90.00
Closest atoms and distances in Å follow each position.
Space group C2/m (No. 12)
Asymmetric unit:
1 Na 0.0000 0.0000 0.0000 [2 per cell]  4 O 2.33
2 Na 0.0000 0.1667 0.5000 [4 per cell]  6 O 2.37-2.41
3 Na 0.0000 0.3249 0.0000 [4 per cell]  6 O 2.36-2.57
4 Np 0.0000 0.5000 0.5000 [2 per cell]  6 O 2.00-2.04
5 O 0.2110 0.5000 0.2884 [4 per cell]  1 Np 2.00
6 O 0.2176 0.3559 0.7232 [8 per cell]  1 Np 2.04

## Properties
Magnetization (μB/cell): 0.00
Raw formation energy (meV/atom): -2098.7
E_tot (eV/atom): -6.461
Mass density (g/cm³): 4.801
V (Å³ per cell): 309.8
Crystal system: monoclinic


[19]
Density functional theory data (GGA-PBEsol) for NaO2 after structural relaxation.

a b c (Å): 5.4317 5.4317 5.4317
angles (deg): 90.00 90.00 90.00
Closest atoms and distances in Å follow each position.
Space group Pa-3 (No. 205)
Asymmetric unit:
1 Na 0.0000 0.0000 0.0000 [4 per cell]  6 O 2.39
2 O 0.0714 0.5714 0.9286 [8 per cell]  1 O 1.34

## Properties
Magnetization (μB/cell): 4.00
Raw formation energy (meV/atom): -733.8
E_tot (eV/atom): -4.700
Mass density (g/cm³): 2.279
V (Å³ per cell): 160.3
Crystal system: cubic
ΔE to the lowest computed polymorph (meV/atom): 24


[20]
Density functional theory data (GGA-PBEsol) for NaO2 after structural relaxation.

a b c (Å): 4.1396 4.1396 4.6255
angles (deg): 90.00 90.00 90.00
Closest atoms and distances in Å follow each position.
Space group P4_2/mnm (No. 136)
Asymmetric unit:
1 Na 0.0000 0.0000 0.0000 [2 per cell]  6 O 2.26-2.41
2 O 0.1143 0.1143 0.5000 [4 per cell]  1 O 1.34

## Properties
Magnetization (μB/cell): 2.00
Raw formation energy (meV/atom): -690.6
E_tot (eV/atom): -4.657
Mass density (g/cm³): 2.304
V (Å³ per cell): 79.3
Crystal system: tetragonal
ΔE to the lowest computed polymorph (meV/atom): 67


[21]
Density functional theory data (GGA-PBEsol) for NaO2 after structural relaxation.

a b c (Å): 6.2477 9.1190 4.9857
angles (deg): 90.00 90.00 90.00
Closest atoms and distances in Å follow each position.
Space group Cmce (No. 64)
Asymmetric unit:
1 Na 0.2500 0.1293 0.2500 [8 per cell]  6 O 2.40-2.49
2 O 0.0000 0.0732 0.6971 [8 per cell]  1 O 1.34
3 O 0.0000 0.1731 0.8944 [8 per cell]  1 O 1.34

## Properties
Magnetization (μB/cell): 8.03
Raw formation energy (meV/atom): -757.3
E_tot (eV/atom): -4.723
Mass density (g/cm³): 2.572
V (Å³ per cell): 284.1
Crystal system: orthorhombic
ΔE to the lowest computed polymorph (meV/atom): 0


[22]
Density functional theory data (GGA-PBEsol) for NaOsO3 after structural relaxation.

a b c (Å): 3.8394 3.8394 3.8394
angles (deg): 90.00 90.00 90.00
Closest atoms and distances in Å follow each position.
Space group Pm-3m (No. 221)
Asymmetric unit:
1 Na 0.0000 0.0000 0.0000 [1 per cell]  12 O 2.71
2 Os 0.5000 0.5000 0.5000 [1 per cell]  6 O 1.92
3 O 0.0000 0.5000 0.5000 [3 per cell]  2 Os 1.92

## Properties
Magnetization (μB/cell): 0.00
Raw formation energy (meV/atom): -1215.6
E_tot (eV/atom): -7.088
Mass density (g/cm³): 7.664
V (Å³ per cell): 56.6
Crystal system: cubic


[23]
Density functional theory data (GGA-PBEsol) for Na3OsO5 after structural relaxation.

a b c (Å): 5.5481 5.5481 13.3670
angles (deg): 90.00 90.00 120.00
Closest atoms and distances in Å follow each position.
Space group P3_121 (No. 152)
Asymmetric unit:
1 Na 0.0000 0.2736 0.1667 [3 per cell]  4 O 2.29
2 Na 0.0925 0.3832 0.4180 [6 per cell]  5 O 2.32-2.53
3 Os 0.0000 0.3861 0.6667 [3 per cell]  5 O 1.78-1.88
4 O 0.0000 0.7074 0.6667 [3 per cell]  1 Os 1.78
5 O 0.1562 0.8408 0.4397 [6 per cell]  1 Os 1.82
6 O 0.1817 0.6573 0.2676 [6 per cell]  1 Os 1.88

## Properties
Magnetization (μB/cell): 3.06
Raw formation energy (meV/atom): -1365.4
E_tot (eV/atom): -6.106
Mass density (g/cm³): 4.742
V (Å³ per cell): 356.3
Crystal system: trigonal


[24]
Density functional theory data (GGA-PBEsol) for NaOsO3 after structural relaxation.

a b c (Å): 5.3786 7.5516 5.3207
angles (deg): 90.00 90.00 90.00
Closest atoms and distances in Å follow each position.
Space group Pnma (No. 62)
Asymmetric unit:
1 Na 0.0358 0.2500 0.0109 [4 per cell]  4 O 2.27-2.51
2 Os 0.0000 0.0000 0.5000 [4 per cell]  6 O 1.94
3 O 0.0083 0.7500 0.4143 [4 per cell]  2 Os 1.94
4 O 0.2125 0.5414 0.7888 [8 per cell]  2 Os 1.94

## Properties
Magnetization (μB/cell): 0.00
Raw formation energy (meV/atom): -1239.5
E_tot (eV/atom): -7.112
Mass density (g/cm³): 8.029
V (Å³ per cell): 216.1
Crystal system: orthorhombic